NiMo5 | Alexandria via LeMat-Bulk | PBE-GGA | relaxed; ΔH_f (0 K) = 2.2 kcal/mol of atoms; VASP energy = -9.895 eV per atom; spin magnetization = 0.0 Bohr magnetons per cell; ΔE to the lowest computed polymorph = 0.000 eV per atom; SG = No. 65
1.0
3.241 0.000 0.000
0.000 4.324 0.000
0.000 -2.162 6.488
Mo Ni
5 1
Cartesian
1.620 2.162 0.000
0.000 2.162 2.094
0.000 0.000 4.395
1.620 2.162 4.352
1.620 0.000 2.137
0.000 0.000 0.000